Here is crystalline Hf5Ti12Cd3 at its relaxed geometry from Alexandria. Energies are from GGA-PBE.

Calculated values
DFT total energy: -6.09 eV/atom
Volume: 25.59 Å³ per atom
ΔH_f (0 K): 122.5 kJ/mol of atoms
Density of states at the Fermi level: 124.769 states/eV/cell

Lattice parameters (Å, degrees): 13.854 13.854 13.854 109.47 109.47 109.47
Fractional coordinates of all 80 atoms:
Hf  0.000  0.000  0.000
Hf  0.000  0.000  0.500
Hf  0.000  0.500  0.000
Hf  0.000  0.500  0.500
Hf  0.125  0.750  0.875
Hf  0.125  0.875  0.250
Hf  0.250  0.125  0.875
Hf  0.250  0.625  0.375
Hf  0.375  0.250  0.625
Hf  0.375  0.625  0.750
Hf  0.500  0.000  0.000
Hf  0.500  0.000  0.500
Hf  0.500  0.500  0.000
Hf  0.500  0.500  0.500
Hf  0.625  0.375  0.250
Hf  0.625  0.750  0.375
Hf  0.750  0.375  0.625
Hf  0.750  0.875  0.125
Hf  0.875  0.125  0.750
Hf  0.875  0.250  0.125
Ti  0.073  0.654  0.427
Ti  0.073  0.727  0.646
Ti  0.073  0.846  0.427
Ti  0.073  0.918  0.646
Ti  0.082  0.227  0.154
Ti  0.082  0.354  0.927
Ti  0.146  0.227  0.573
Ti  0.146  0.418  0.573
Ti  0.154  0.082  0.227
Ti  0.154  0.573  0.927
Ti  0.227  0.154  0.082
Ti  0.227  0.573  0.146
Ti  0.273  0.354  0.927
Ti  0.273  0.418  0.346
Ti  0.346  0.273  0.418
Ti  0.346  0.573  0.927
Ti  0.354  0.927  0.082
Ti  0.354  0.927  0.273
Ti  0.418  0.346  0.273
Ti  0.418  0.573  0.146
Ti  0.427  0.073  0.654
Ti  0.427  0.073  0.846
Ti  0.427  0.854  0.582
Ti  0.427  0.854  0.773
Ti  0.573  0.146  0.227
Ti  0.573  0.146  0.418
Ti  0.573  0.927  0.154
Ti  0.573  0.927  0.346
Ti  0.582  0.427  0.854
Ti  0.582  0.654  0.727
Ti  0.646  0.073  0.727
Ti  0.646  0.073  0.918
Ti  0.654  0.427  0.073
Ti  0.654  0.727  0.582
Ti  0.727  0.582  0.654
Ti  0.727  0.646  0.073
Ti  0.773  0.427  0.854
Ti  0.773  0.846  0.918
Ti  0.846  0.427  0.073
Ti  0.846  0.918  0.773
Ti  0.854  0.582  0.427
Ti  0.854  0.773  0.427
Ti  0.918  0.646  0.073
Ti  0.918  0.773  0.846
Ti  0.927  0.082  0.354
Ti  0.927  0.154  0.573
Ti  0.927  0.273  0.354
Ti  0.927  0.346  0.573
Cd  0.125  0.250  0.375
Cd  0.125  0.375  0.750
Cd  0.250  0.375  0.125
Cd  0.250  0.875  0.625
Cd  0.375  0.125  0.250
Cd  0.375  0.750  0.125
Cd  0.625  0.250  0.875
Cd  0.625  0.875  0.750
Cd  0.750  0.125  0.375
Cd  0.750  0.625  0.875
Cd  0.875  0.625  0.250
Cd  0.875  0.750  0.625